This record from the Alexandria database describes a PBEsol-optimized structure of SiSbTe4. The functional is meta-GGA SCAN.

Values from the calculation:
- Uncorrected energy: -31.84 eV/atom
- Symmetry: F-43m, No. 216
- Calculated density: 6.6 g/cm3

a = 6.1688 Å, b = 6.1688 Å, c = 6.1688 Å
α = 60.00°, β = 60.00°, γ = 60.00°
Last column: nearest neighbours and their distance in Å.
Positions (direct):
Te  0.3751  0.8746  0.3751  6 Te 3.08-3.09
Te  0.3751  0.3751  0.8746  6 Te 3.08-3.09
Te  0.3751  0.3751  0.3751  6 Te 3.08-3.09
Sb  0.7500  0.7500  0.7500  12 Te 3.62, 4 Si 3.78
Si  0.0000  0.0000  0.0000  12 Te 3.62, 4 Sb 3.78
Te  0.8746  0.3751  0.3751  6 Te 3.08-3.09